Entry 1:
# CaTeAu2, relaxed, DFT PBE-GGA
data_CaTeAu2
_cell_length_a 4.260
_cell_length_b 4.260
_cell_length_c 5.085
_cell_angle_alpha 90.00
_cell_angle_beta 90.00
_cell_angle_gamma 90.00
_space_group_name_H-M_alt 'P 1'
_space_group_IT_number 1
loop_
_space_group_symop_operation_xyz
'x,y,z'
loop_
_atom_site_label
_atom_site_type_symbol
_atom_site_fract_x
_atom_site_fract_y
_atom_site_fract_z
Ca1 Ca 0.000 0.000 0.000
Te1 Te 0.500 0.500 0.000
Au1 Au 0.000 0.500 0.500
Au2 Au 0.500 0.000 0.500
# - Raw formation energy: -0.55 eV/atom
# - SG: P4/mmm (123)
# - Density of states at the Fermi level: 0.2372 states/eV/atom
# - Total DFT energy (no corrections): -13.881 eV for the cell shown
# - E above lowest polymorph: 39.8 meV/atom

---

Entry 2:
# K3TcB, relaxed, DFT PBE-GGA
data_K3TcB
_cell_length_a 6.022
_cell_length_b 6.022
_cell_length_c 6.022
_cell_angle_alpha 90.00
_cell_angle_beta 90.00
_cell_angle_gamma 90.00
_space_group_name_H-M_alt 'P 1'
_space_group_IT_number 1
loop_
_space_group_symop_operation_xyz
'x,y,z'
loop_
_atom_site_label
_atom_site_type_symbol
_atom_site_fract_x
_atom_site_fract_y
_atom_site_fract_z
K1 K 0.000 0.000 0.500
K2 K 0.000 0.500 0.000
K3 K 0.500 0.000 0.000
Tc1 Tc 0.500 0.500 0.500
B1 B 0.000 0.000 0.000
# - SG: Pm-3m (221)
# - ΔH_f (0 K): 8.75 eV/f.u.
# - Density of states at the Fermi level: 2.3070 states/eV/atom
# - Total DFT energy (no corrections): -11.590 eV for the cell shown
# - E above lowest polymorph: 0.0 meV/atom

---

Entry 3:
# Ta5Mo4W, relaxed, DFT PBE-GGA
data_Ta5Mo4W
_cell_length_a 3.233
_cell_length_b 3.233
_cell_length_c 16.152
_cell_angle_alpha 90.00
_cell_angle_beta 90.00
_cell_angle_gamma 90.00
_space_group_name_H-M_alt 'P 1'
_space_group_IT_number 1
loop_
_space_group_symop_operation_xyz
'x,y,z'
loop_
_atom_site_label
_atom_site_type_symbol
_atom_site_fract_x
_atom_site_fract_y
_atom_site_fract_z
Ta1 Ta 0.000 0.000 0.000
Ta2 Ta 0.000 0.000 0.200
Ta3 Ta 0.000 0.000 0.399
Ta4 Ta 0.000 0.000 0.601
Ta5 Ta 0.000 0.000 0.800
Mo1 Mo 0.500 0.500 0.100
Mo2 Mo 0.500 0.500 0.300
Mo3 Mo 0.500 0.500 0.700
Mo4 Mo 0.500 0.500 0.900
W1 W 0.500 0.500 0.500
# - SG: P4/mmm (123)
# - ΔH_f (0 K): -1.79 eV/f.u.
# - Density of states at the Fermi level: 0.9678 states/eV/atom
# - Total DFT energy (no corrections): -117.333 eV for the cell shown

---

Entry 4:
# KTcNi, relaxed, DFT PBE-GGA
data_KTcNi
_cell_length_a 4.984
_cell_length_b 4.984
_cell_length_c 5.336
_cell_angle_alpha 90.00
_cell_angle_beta 90.00
_cell_angle_gamma 120.00
_space_group_name_H-M_alt 'P 1'
_space_group_IT_number 1
loop_
_space_group_symop_operation_xyz
'x,y,z'
loop_
_atom_site_label
_atom_site_type_symbol
_atom_site_fract_x
_atom_site_fract_y
_atom_site_fract_z
K1 K 0.000 0.000 0.000
K2 K 0.000 0.000 0.500
Tc1 Tc 0.333 0.667 0.250
Tc2 Tc 0.667 0.333 0.750
Ni1 Ni 0.333 0.667 0.750
Ni2 Ni 0.667 0.333 0.250
# - SG: P6_3/mmc (194)
# - ΔH_f (0 K): 4.32 eV/f.u.
# - Density of states at the Fermi level: 1.3770 states/eV/atom
# - Total DFT energy (no corrections): -25.855 eV for the cell shown
# - E above lowest polymorph: 1013.9 meV/atom

---

Entry 5:
# Al2TeIr, relaxed, DFT PBE-GGA
data_Al2TeIr
_cell_length_a 3.070
_cell_length_b 3.070
_cell_length_c 7.938
_cell_angle_alpha 90.00
_cell_angle_beta 90.00
_cell_angle_gamma 90.00
_space_group_name_H-M_alt 'P 1'
_space_group_IT_number 1
loop_
_space_group_symop_operation_xyz
'x,y,z'
loop_
_atom_site_label
_atom_site_type_symbol
_atom_site_fract_x
_atom_site_fract_y
_atom_site_fract_z
Al1 Al 0.000 0.000 0.000
Al2 Al 0.500 0.500 0.225
Te1 Te 0.500 0.500 0.660
Ir1 Ir 0.000 0.000 0.397
# - Raw formation energy: -0.01 eV/atom
# - SG: P4mm (99)
# - Density of states at the Fermi level: 0.3639 states/eV/atom
# - Total DFT energy (no corrections): -19.534 eV for the cell shown

---

Entry 6:
# Pr2Er3In, relaxed, DFT PBE-GGA
data_Pr2Er3In
_cell_length_a 7.977
_cell_length_b 7.977
_cell_length_c 4.946
_cell_angle_alpha 90.00
_cell_angle_beta 90.00
_cell_angle_gamma 144.21
_space_group_name_H-M_alt 'P 1'
_space_group_IT_number 1
loop_
_space_group_symop_operation_xyz
'x,y,z'
loop_
_atom_site_label
_atom_site_type_symbol
_atom_site_fract_x
_atom_site_fract_y
_atom_site_fract_z
Pr1 Pr 0.162 0.838 0.000
Pr2 Pr 0.838 0.162 0.000
Er1 Er 0.000 0.000 0.500
Er2 Er 0.337 0.663 0.500
Er3 Er 0.663 0.337 0.500
In1 In 0.500 0.500 0.000
# - SG: Cmmm (65)
# - ΔH_f (0 K): -0.85 eV/f.u.
# - Density of states at the Fermi level: 1.1516 states/eV/atom
# - Total DFT energy (no corrections): -26.831 eV for the cell shown
# - E above lowest polymorph: 0.0 meV/atom

---

Entry 7:
# LiTc3, relaxed, DFT PBE-GGA
data_LiTc3
_cell_length_a 4.552
_cell_length_b 4.552
_cell_length_c 4.845
_cell_angle_alpha 93.25
_cell_angle_beta 93.25
_cell_angle_gamma 34.14
_space_group_name_H-M_alt 'P 1'
_space_group_IT_number 1
loop_
_space_group_symop_operation_xyz
'x,y,z'
loop_
_atom_site_label
_atom_site_type_symbol
_atom_site_fract_x
_atom_site_fract_y
_atom_site_fract_z
Li1 Li 0.000 0.000 0.000
Tc1 Tc 0.250 0.250 0.759
Tc2 Tc 0.500 0.500 0.500
Tc3 Tc 0.750 0.750 0.241
# - SG: C2/m (12)
# - ΔH_f (0 K): 1.13 eV/f.u.
# - Density of states at the Fermi level: 1.1767 states/eV/atom
# - Total DFT energy (no corrections): -31.879 eV for the cell shown
# - E above lowest polymorph: 134.7 meV/atom

---

Entry 8:
# Ni6BH2, relaxed, DFT PBE-GGA
data_Ni6BH2
_cell_length_a 4.526
_cell_length_b 4.526
_cell_length_c 4.364
_cell_angle_alpha 90.00
_cell_angle_beta 90.00
_cell_angle_gamma 120.00
_space_group_name_H-M_alt 'P 1'
_space_group_IT_number 1
loop_
_space_group_symop_operation_xyz
'x,y,z'
loop_
_atom_site_label
_atom_site_type_symbol
_atom_site_fract_x
_atom_site_fract_y
_atom_site_fract_z
Ni1 Ni 0.000 0.346 0.246
Ni2 Ni 0.000 0.654 0.754
Ni3 Ni 0.346 0.000 0.246
Ni4 Ni 0.346 0.346 0.754
Ni5 Ni 0.654 0.000 0.754
Ni6 Ni 0.654 0.654 0.246
B1 B 0.000 0.000 0.500
H1 H 0.333 0.667 0.000
H2 H 0.667 0.333 0.000
# - SG: P-31m (162)
# - Density of states at the Fermi level: 0.7485 states/eV/atom
# - Total DFT energy (no corrections): -48.628 eV for the cell shown

---

Entry 9:
# Hf4Be2In5, relaxed, DFT PBE-GGA
data_Hf4Be2In5
_cell_length_a 7.444
_cell_length_b 3.203
_cell_length_c 9.227
_cell_angle_alpha 90.00
_cell_angle_beta 98.24
_cell_angle_gamma 90.00
_space_group_name_H-M_alt 'P 1'
_space_group_IT_number 1
loop_
_space_group_symop_operation_xyz
'x,y,z'
loop_
_atom_site_label
_atom_site_type_symbol
_atom_site_fract_x
_atom_site_fract_y
_atom_site_fract_z
Hf1 Hf 0.177 0.000 0.336
Hf2 Hf 0.208 0.000 0.925
Hf3 Hf 0.792 0.000 0.075
Hf4 Hf 0.823 0.000 0.664
Be1 Be 0.080 0.500 0.107
Be2 Be 0.920 0.500 0.893
In1 In 0.164 0.500 0.635
In2 In 0.450 0.500 0.167
In3 In 0.500 0.500 0.500
In4 In 0.550 0.500 0.833
In5 In 0.836 0.500 0.365
# - SG: P2/m (10)
# - ΔH_f (0 K): -1.59 eV/f.u.
# - Density of states at the Fermi level: 0.3005 states/eV/atom
# - Total DFT energy (no corrections): -62.548 eV for the cell shown

---

Entry 10:
# ScTiH2, relaxed, DFT PBE-GGA
data_ScTiH2
_cell_length_a 3.925
_cell_length_b 3.925
_cell_length_c 3.925
_cell_angle_alpha 60.00
_cell_angle_beta 60.00
_cell_angle_gamma 60.00
_space_group_name_H-M_alt 'P 1'
_space_group_IT_number 1
loop_
_space_group_symop_operation_xyz
'x,y,z'
loop_
_atom_site_label
_atom_site_type_symbol
_atom_site_fract_x
_atom_site_fract_y
_atom_site_fract_z
Sc1 Sc 0.000 0.000 0.000
Ti1 Ti 0.500 0.500 0.500
H1 H 0.250 0.250 0.250
H2 H 0.750 0.750 0.750
# - SG: Fm-3m (225)
# - Density of states at the Fermi level: 1.1692 states/eV/atom
# - Total DFT energy (no corrections): -19.922 eV for the cell shown
# - E above lowest polymorph: 592.3 meV/atom

---

Entry 11:
# Ba2BiIrN, relaxed, DFT PBE-GGA
data_Ba2BiIrN
_cell_length_a 6.432
_cell_length_b 6.432
_cell_length_c 3.759
_cell_angle_alpha 90.00
_cell_angle_beta 90.00
_cell_angle_gamma 90.00
_space_group_name_H-M_alt 'P 1'
_space_group_IT_number 1
loop_
_space_group_symop_operation_xyz
'x,y,z'
loop_
_atom_site_label
_atom_site_type_symbol
_atom_site_fract_x
_atom_site_fract_y
_atom_site_fract_z
Ba1 Ba 0.000 0.500 0.000
Ba2 Ba 0.500 0.000 0.000
Bi1 Bi 0.000 0.000 0.500
Ir1 Ir 0.500 0.500 0.000
N1 N 0.500 0.500 0.500
# - Raw formation energy: -0.46 eV/atom
# - SG: P4/mmm (123)
# - Density of states at the Fermi level: 0.3383 states/eV/atom
# - Total DFT energy (no corrections): -27.215 eV for the cell shown
# - E above lowest polymorph: 146.1 meV/atom

---

Entry 12:
# PuFeB2, relaxed, DFT PBE-GGA
data_PuFeB2
_cell_length_a 6.097
_cell_length_b 6.097
_cell_length_c 5.313
_cell_angle_alpha 90.00
_cell_angle_beta 90.00
_cell_angle_gamma 151.40
_space_group_name_H-M_alt 'P 1'
_space_group_IT_number 1
loop_
_space_group_symop_operation_xyz
'x,y,z'
loop_
_atom_site_label
_atom_site_type_symbol
_atom_site_fract_x
_atom_site_fract_y
_atom_site_fract_z
Pu1 Pu 0.072 0.928 0.750
Pu2 Pu 0.928 0.072 0.250
Fe1 Fe 0.345 0.655 0.750
Fe2 Fe 0.655 0.345 0.250
B1 B 0.254 0.746 0.087
B2 B 0.254 0.746 0.413
B3 B 0.746 0.254 0.587
B4 B 0.746 0.254 0.913
# - SG: Cmcm (63)
# - ΔH_f (0 K): -1.38 eV/f.u.
# - Density of states at the Fermi level: 1.5007 states/eV/atom
# - Total DFT energy (no corrections): -75.055 eV for the cell shown
# - E above lowest polymorph: 0.0 meV/atom